Gd3Zn3NiIr2 | OQMD via LeMat-Bulk | PBE | optimized geometry; V = 19.02 Å³/atom; E_form = -532.5 kJ/mol of formula units
1.0
7.125 0.000 0.000
-3.563 6.171 0.000
0.000 0.000 3.894
Gd Zn Ni Ir
3 3 1 2
Direct
0.000 0.407 0.000 Gd
0.407 0.000 0.000 Gd
0.593 0.593 0.000 Gd
0.000 0.761 0.500 Zn
0.239 0.239 0.500 Zn
0.761 0.000 0.500 Zn
0.000 0.000 0.000 Ni
0.333 0.667 0.500 Ir
0.667 0.333 0.500 Ir